Record 1
Here is a PBEsol-optimized structure of Sc2MoCl from Alexandria via LeMat-Bulk. Energies are from SCAN.

Output
**M_tot**: 0.00 μB per formula unit
**Offset from the most stable computed form**: 0.0 kJ/mol of atoms
**Formation energy from raw total energies**: -2.43 eV per formula unit
**Electronic total energy**: -73.8 eV per formula unit

a = 3.357 Å, b = 3.158 Å, c = 7.580 Å
α = 90.00°, β = 90.14°, γ = 90.00°
Space group P2/m (No. 10)
Symmetry-distinct sites (fractional):
1 Sc 0.001 0.000 0.213 [2 per cell]
2 Mo 0.500 0.500 0.000 [1 per cell]
3 Cl 0.000 0.500 0.500 [1 per cell]

---

Record 2
Here is a PBEsol-optimized structure of TlAgI2 from Alexandria via LeMat-Bulk. Energies are from SCAN.

Output
**M_tot**: 0.00 μB per formula unit
**Offset from the most stable computed form**: 3.7 kJ/mol of atoms
**Formation energy from raw total energies**: -1.61 eV per formula unit
**Electronic total energy**: -178.8 eV per formula unit

a = 8.202 Å, b = 8.202 Å, c = 8.206 Å
α = 90.00°, β = 90.00°, γ = 90.00°
Space group I-42d (No. 122)
Symmetry-distinct sites (fractional):
1 Tl 0.000 0.000 0.000 [4 per cell]
2 Ag 0.000 0.000 0.500 [4 per cell]
3 I 0.194 0.250 0.625 [8 per cell]

---

Record 3
Here is a PBEsol-optimized structure of LiSi2Br2 from Alexandria via LeMat-Bulk. Energies are from SCAN.

Output
**M_tot**: 0.00 μB per formula unit
**Formation energy from raw total energies**: 0.42 eV per formula unit
**Electronic total energy**: -60.9 eV per formula unit

a = 6.474 Å, b = 6.474 Å, c = 5.277 Å
α = 90.00°, β = 90.00°, γ = 90.00°
Space group P4/mbm (No. 127)
Symmetry-distinct sites (fractional):
1 Li 0.000 0.000 0.000 [2 per cell]
2 Si 0.219 0.281 0.500 [4 per cell]
3 Br 0.180 0.320 0.000 [4 per cell]

---

Record 4
Here is a PBEsol-optimized structure of TiAsH2 from Alexandria via LeMat-Bulk. Energies are from SCAN.

Output
**M_tot**: 0.00 μB per formula unit
**Electronic total energy**: -43.2 eV per formula unit

a = 3.721 Å, b = 3.721 Å, c = 12.096 Å
α = 90.00°, β = 90.00°, γ = 90.00°
Space group I4_1/amd (No. 141, origin choice 2)
Symmetry-distinct sites (fractional):
1 Ti 0.000 0.250 0.375 [4 per cell]
2 As 0.000 0.250 0.875 [4 per cell]
3 H 0.000 0.000 0.500 [8 per cell]

---

Record 5
Here is a PBEsol-optimized structure of Mn2MoHPd from Alexandria via LeMat-Bulk. Energies are from SCAN.

Output
**M_tot**: 4.65 μB per formula unit
**Electronic total energy**: -99.1 eV per formula unit

a = 4.451 Å, b = 4.451 Å, c = 4.796 Å
α = 90.00°, β = 90.00°, γ = 90.00°
Space group P4/mmm (No. 123)
Symmetry-distinct sites (fractional):
1 Mn 0.000 0.500 0.000 [2 per cell]
2 Mo 0.000 0.000 0.000 [1 per cell]
3 H 0.500 0.500 0.500 [1 per cell]
4 Pd 0.000 0.000 0.500 [1 per cell]

---

Record 6
Here is a PBEsol-optimized structure of MnCuRu2 from Alexandria via LeMat-Bulk. Energies are from SCAN.

Output
**Formation enthalpy at 0 K**: 0.49 eV per formula unit
**M_tot**: 2.44 μB per formula unit
**Electronic total energy**: -102.6 eV per formula unit

a = 5.842 Å, b = 5.842 Å, c = 5.842 Å
α = 90.00°, β = 90.00°, γ = 90.00°
Space group Fm-3m (No. 225)
Symmetry-distinct sites (fractional):
1 Mn 0.000 0.000 0.000 [4 per cell]
2 Cu 0.000 0.000 0.500 [4 per cell]
3 Ru 0.250 0.250 0.250 [8 per cell]

---

Record 7
Here is a PBEsol-optimized structure of LaBe4Mo from Alexandria via LeMat-Bulk. Energies are from SCAN.

Output
**Formation enthalpy at 0 K**: 1.59 eV per formula unit
**M_tot**: 2.31 μB per formula unit
**Electronic total energy**: -93.8 eV per formula unit

a = 6.779 Å, b = 6.779 Å, c = 6.779 Å
α = 90.00°, β = 90.00°, γ = 90.00°
Space group F-43m (No. 216)
Symmetry-distinct sites (fractional):
1 La 0.000 0.000 0.000 [4 per cell]
2 Be 0.121 0.121 0.621 [16 per cell]
3 Mo 0.250 0.250 0.250 [4 per cell]

---

Record 8
Here is a PBEsol-optimized structure of SbPSe2N from Alexandria via LeMat-Bulk. Energies are from SCAN.

Output
**M_tot**: 0.00 μB per formula unit
**Formation energy from raw total energies**: 2.38 eV per formula unit
**Electronic total energy**: -94.7 eV per formula unit

a = 5.047 Å, b = 5.047 Å, c = 3.384 Å
α = 90.00°, β = 90.00°, γ = 90.00°
Space group P4/mmm (No. 123)
Symmetry-distinct sites (fractional):
1 Sb 0.000 0.000 0.000 [1 per cell]
2 P 0.500 0.500 0.500 [1 per cell]
3 Se 0.000 0.500 0.500 [2 per cell]
4 N 0.500 0.500 0.000 [1 per cell]